Below is an optimized crystal structure of PmYGe2Rh5, with properties calculated at the GGA-PBE level.

It has space group P4/mmm (No. 123), with a = 4.208 Å, b = 4.208 Å, c = 8.996 Å, α = 90.00°, β = 90.00° and γ = 90.00°. The distinct sites, in fractional coordinates, are Pm at (0.000, 0.000, 0.000), Y at (0.000, 0.000, 0.500), Ge at (0.500, 0.500, 0.360), Rh at (0.000, 0.500, 0.232) and Rh at (0.500, 0.500, 0.000).

The magnetization comes out at 0.00 μB per formula unit. The value obtained for the formation energy is -0.70 eV/atom. The calculated total energy is -63.5 eV per cell.